This record from Alexandria describes crystalline TlHg2Pt at its relaxed geometry. The functional is PBE.

Cell lengths 3.6785, 3.6785, 25.0572 Å; angles 90.00, 90.00, 120.00 degrees
Fractional positions:
Tl  0.0000  0.0000  0.0000
Tl  0.3333  0.6667  0.6667
Tl  0.6667  0.3333  0.3333
Hg  0.0000  0.0000  0.2360
Hg  0.0000  0.0000  0.4791
Hg  0.3333  0.6667  0.1458
Hg  0.3333  0.6667  0.9026
Hg  0.6667  0.3333  0.5693
Hg  0.6667  0.3333  0.8125
Pt  0.0000  0.0000  0.7390
Pt  0.3333  0.6667  0.4056
Pt  0.6667  0.3333  0.0723

Output
The calculation puts the total energy at -2.125 eV per atom. Its crystal system is trigonal. The energy above the most stable polymorph in this dataset is 126 meV/atom. The value obtained for the formation energy from the elements is 0.127 eV per atom.



This record from Alexandria describes crystalline Tl2Hg4Pt at its relaxed geometry. The functional is PBE.

Cell lengths 5.3700, 5.3700, 15.4379 Å; angles 90.00, 90.00, 90.00 degrees
Fractional positions:
Tl  0.0000  0.0000  0.1279
Tl  0.0000  0.0000  0.8721
Tl  0.5000  0.5000  0.3721
Tl  0.5000  0.5000  0.6279
Hg  0.0000  0.0000  0.3238
Hg  0.0000  0.0000  0.6762
Hg  0.0000  0.5000  0.0000
Hg  0.0000  0.5000  0.5000
Hg  0.5000  0.0000  0.0000
Hg  0.5000  0.0000  0.5000
Hg  0.5000  0.5000  0.1762
Hg  0.5000  0.5000  0.8238
Pt  0.0000  0.0000  0.5000
Pt  0.5000  0.5000  0.0000

Output
The calculation puts the total energy at -1.675 eV per atom. Its crystal system is tetragonal. The value obtained for the formation energy from the elements is 0.037 eV per atom.



This record from Alexandria describes crystalline TlHg2Pt at its relaxed geometry. The functional is PBE.

Cell lengths 3.0877, 5.3460, 5.4034 Å; angles 90.00, 90.00, 90.00 degrees
Fractional positions:
Tl  0.0000  0.0000  0.0000
Hg  0.0000  0.5000  0.5000
Hg  0.5000  0.0000  0.5000
Pt  0.5000  0.5000  0.0000

Output
The calculation puts the total energy at -2.073 eV per atom. Its crystal system is orthorhombic. The energy above the most stable polymorph in this dataset is 178 meV/atom. The value obtained for the formation energy from the elements is 0.179 eV per atom.



This record from Alexandria describes crystalline TlHgPt2 at its relaxed geometry. The functional is PBE.

Cell lengths 4.0989, 4.1593, 4.4181 Å; angles 90.00, 90.00, 90.00 degrees
Fractional positions:
Tl  0.0000  0.0000  0.0000
Hg  0.0000  0.5000  0.5000
Pt  0.5000  0.0000  0.5000
Pt  0.5000  0.5000  0.0000

Output
The calculation puts the total energy at -3.589 eV per atom. Its crystal system is orthorhombic. The value obtained for the formation energy from the elements is 0.098 eV per atom.



This record from Alexandria describes crystalline Tl2HgPt at its relaxed geometry. The functional is PBE.

Cell lengths 7.2905, 4.1898, 7.6243 Å; angles 90.00, 108.15, 90.00 degrees
Fractional positions:
Tl  0.2325  0.0000  0.1993
Tl  0.2675  0.5000  0.8007
Tl  0.7325  0.5000  0.1993
Tl  0.7675  0.0000  0.8007
Hg  0.0000  0.0000  0.5000
Hg  0.5000  0.5000  0.5000
Pt  0.0000  0.5000  0.0000
Pt  0.5000  0.0000  0.0000

Output
The calculation puts the total energy at -2.748 eV per atom. Its crystal system is monoclinic. The energy above the most stable polymorph in this dataset is 26 meV/atom. The value obtained for the formation energy from the elements is 0.021 eV per atom.



This record from Alexandria describes crystalline TlHgPt4 at its relaxed geometry. The functional is PBE.

Cell lengths 5.4382, 5.4382, 5.4382 Å; angles 60.00, 60.00, 60.00 degrees
Fractional positions:
Tl  0.0000  0.0000  0.0000
Hg  0.7500  0.7500  0.7500
Pt  0.3750  0.3750  0.3750
Pt  0.3750  0.3750  0.8751
Pt  0.3750  0.8751  0.3750
Pt  0.8751  0.3750  0.3750

Output
The calculation puts the total energy at -4.417 eV per atom. Its crystal system is cubic. The value obtained for the formation energy from the elements is 0.055 eV per atom.



This record from Alexandria describes crystalline TlHg2Pt at its relaxed geometry. The functional is PBE.

Cell lengths 4.4491, 4.4491, 8.7887 Å; angles 90.00, 90.00, 90.00 degrees
Fractional positions:
Tl  0.0000  0.0000  0.0000
Tl  0.5000  0.5000  0.5000
Hg  0.0000  0.5000  0.2500
Hg  0.0000  0.5000  0.7500
Hg  0.5000  0.0000  0.2500
Hg  0.5000  0.0000  0.7500
Pt  0.0000  0.0000  0.5000
Pt  0.5000  0.5000  0.0000

Output
The calculation puts the total energy at -2.076 eV per atom. Its crystal system is tetragonal. The energy above the most stable polymorph in this dataset is 175 meV/atom. The value obtained for the formation energy from the elements is 0.177 eV per atom.



This record from Alexandria describes crystalline Tl2HgPt at its relaxed geometry. The functional is PBE.

Cell lengths 3.3813, 3.3813, 8.7908 Å; angles 90.00, 90.00, 90.00 degrees
Fractional positions:
Tl  0.0000  0.0000  0.2022
Tl  0.0000  0.0000  0.7978
Hg  0.5000  0.5000  0.5000
Pt  0.5000  0.5000  0.0000

Output
The calculation puts the total energy at -2.737 eV per atom. Its crystal system is tetragonal. The energy above the most stable polymorph in this dataset is 37 meV/atom. The value obtained for the formation energy from the elements is 0.032 eV per atom.



This record from Alexandria describes crystalline Tl6Hg2Pt at its relaxed geometry. The functional is PBE.

Cell lengths 7.7706, 7.7706, 9.1099 Å; angles 92.70, 92.70, 29.33 degrees
Fractional positions:
Tl  0.0581  0.0581  0.2948
Tl  0.2503  0.2503  0.7072
Tl  0.3694  0.3694  0.0492
Tl  0.6306  0.6306  0.9508
Tl  0.7497  0.7497  0.2928
Tl  0.9419  0.9419  0.7052
Hg  0.4006  0.4006  0.4221
Hg  0.5994  0.5994  0.5779
Pt  0.0000  0.0000  0.0000

Output
The calculation puts the total energy at -2.312 eV per atom. Its crystal system is monoclinic. The value obtained for the formation energy from the elements is 0.004 eV per atom.



This record from Alexandria describes crystalline Tl2HgPt at its relaxed geometry. The functional is PBE.

Cell lengths 3.2946, 3.2946, 31.6663 Å; angles 90.00, 90.00, 120.00 degrees
Fractional positions:
Tl  0.0000  0.0000  0.2387
Tl  0.0000  0.0000  0.7613
Tl  0.3333  0.6667  0.4280
Tl  0.3333  0.6667  0.9053
Tl  0.6667  0.3333  0.0947
Tl  0.6667  0.3333  0.5720
Hg  0.0000  0.0000  0.0000
Hg  0.3333  0.6667  0.6667
Hg  0.6667  0.3333  0.3333
Pt  0.0000  0.0000  0.5000
Pt  0.3333  0.6667  0.1667
Pt  0.6667  0.3333  0.8333

Output
The calculation puts the total energy at -2.646 eV per atom. Its crystal system is trigonal. The energy above the most stable polymorph in this dataset is 128 meV/atom. The value obtained for the formation energy from the elements is 0.122 eV per atom.



This record from Alexandria describes crystalline TlHg2Pt at its relaxed geometry. The functional is PBE.

Cell lengths 3.0408, 3.8421, 7.9783 Å; angles 90.00, 90.00, 90.00 degrees
Fractional positions:
Tl  0.0000  0.0000  0.0000
Hg  0.5000  0.5000  0.3003
Hg  0.5000  0.5000  0.6997
Pt  0.0000  0.0000  0.5000

Output
The calculation puts the total energy at -2.161 eV per atom. Its crystal system is orthorhombic. The energy above the most stable polymorph in this dataset is 90 meV/atom. The value obtained for the formation energy from the elements is 0.091 eV per atom.



This record from Alexandria describes crystalline TlHg2Pt2 at its relaxed geometry. The functional is PBE.

Cell lengths 8.3845, 8.3845, 2.9747 Å; angles 90.00, 90.00, 90.00 degrees
Fractional positions:
Tl  0.0000  0.0000  0.0000
Tl  0.5000  0.5000  0.0000
Hg  0.1336  0.3664  0.0000
Hg  0.3664  0.8664  0.0000
Hg  0.6336  0.1336  0.0000
Hg  0.8664  0.6336  0.0000
Pt  0.1640  0.6640  0.5000
Pt  0.3360  0.1640  0.5000
Pt  0.6640  0.8360  0.5000
Pt  0.8360  0.3360  0.5000

Output
The calculation puts the total energy at -2.916 eV per atom. Its crystal system is tetragonal. The energy above the most stable polymorph in this dataset is 76 meV/atom. The value obtained for the formation energy from the elements is 0.094 eV per atom.



This record from Alexandria describes crystalline Tl2HgPt at its relaxed geometry. The functional is PBE.

Cell lengths 3.2943, 3.4937, 8.4971 Å; angles 90.00, 90.00, 90.00 degrees
Fractional positions:
Tl  0.0000  0.0000  0.0000
Tl  0.5000  0.5000  0.3213
Hg  0.0000  0.0000  0.6005
Pt  0.5000  0.5000  0.7948

Output
The calculation puts the total energy at -2.722 eV per atom. Its crystal system is orthorhombic. The energy above the most stable polymorph in this dataset is 52 meV/atom. The value obtained for the formation energy from the elements is 0.047 eV per atom.



This record from Alexandria describes crystalline Tl2HgPt at its relaxed geometry. The functional is PBE.

Cell lengths 9.9346, 3.5475, 6.8441 Å; angles 90.00, 114.52, 90.00 degrees
Fractional positions:
Tl  0.0000  0.0000  0.0000
Tl  0.1814  0.0000  0.6964
Tl  0.5000  0.5000  0.0000
Tl  0.6814  0.5000  0.6964
Hg  0.3695  0.0000  0.3502
Hg  0.8695  0.5000  0.3502
Pt  0.1473  0.5000  0.3512
Pt  0.6473  0.0000  0.3512

Output
The calculation puts the total energy at -2.763 eV per atom. Its crystal system is monoclinic. The energy above the most stable polymorph in this dataset is 11 meV/atom. The value obtained for the formation energy from the elements is 0.006 eV per atom.



This record from Alexandria describes crystalline TlHgPt2 at its relaxed geometry. The functional is PBE.

Cell lengths 3.0260, 3.0260, 8.8667 Å; angles 90.00, 90.00, 90.00 degrees
Fractional positions:
Tl  0.0000  0.0000  0.0000
Hg  0.5000  0.5000  0.3292
Pt  0.0000  0.0000  0.5508
Pt  0.5000  0.5000  0.7583

Output
The calculation puts the total energy at -3.527 eV per atom. Its crystal system is tetragonal. The value obtained for the formation energy from the elements is 0.160 eV per atom.



This record from Alexandria describes crystalline TlHg2Pt2 at its relaxed geometry. The functional is PBE.

Cell lengths 7.3745, 7.3745, 3.7851 Å; angles 90.00, 90.00, 90.00 degrees
Fractional positions:
Tl  0.0000  0.0000  0.0000
Tl  0.5000  0.5000  0.0000
Hg  0.1599  0.3401  0.5000
Hg  0.3401  0.8401  0.5000
Hg  0.6599  0.1599  0.5000
Hg  0.8401  0.6599  0.5000
Pt  0.1382  0.6382  0.0000
Pt  0.3618  0.1382  0.0000
Pt  0.6382  0.8618  0.0000
Pt  0.8618  0.3618  0.0000

Output
The calculation puts the total energy at -2.992 eV per atom. Its crystal system is tetragonal. The energy above the most stable polymorph in this dataset is 0 meV/atom. The value obtained for the formation energy from the elements is 0.018 eV per atom.



This record from Alexandria describes crystalline Tl5HgPt at its relaxed geometry. The functional is PBE.

Cell lengths 4.8428, 4.8428, 8.3903 Å; angles 90.00, 90.00, 90.00 degrees
Fractional positions:
Tl  0.0000  0.0000  0.0000
Tl  0.0000  0.5000  0.3002
Tl  0.0000  0.5000  0.6998
Tl  0.5000  0.0000  0.3002
Tl  0.5000  0.0000  0.6998
Hg  0.5000  0.5000  0.0000
Pt  0.0000  0.0000  0.5000

Output
The calculation puts the total energy at -2.620 eV per atom. Its crystal system is tetragonal. The value obtained for the formation energy from the elements is -0.024 eV per atom.



This record from Alexandria describes crystalline Tl4Hg2Pt at its relaxed geometry. The functional is PBE.

Cell lengths 5.3142, 5.3142, 16.4189 Å; angles 90.00, 90.00, 90.00 degrees
Fractional positions:
Tl  0.0000  0.0000  0.1737
Tl  0.0000  0.0000  0.8263
Tl  0.0000  0.5000  0.0000
Tl  0.0000  0.5000  0.5000
Tl  0.5000  0.0000  0.0000
Tl  0.5000  0.0000  0.5000
Tl  0.5000  0.5000  0.3263
Tl  0.5000  0.5000  0.6737
Hg  0.0000  0.0000  0.3632
Hg  0.0000  0.0000  0.6368
Hg  0.5000  0.5000  0.1368
Hg  0.5000  0.5000  0.8632
Pt  0.0000  0.0000  0.0000
Pt  0.5000  0.5000  0.5000

Output
The calculation puts the total energy at -2.277 eV per atom. Its crystal system is tetragonal. The energy above the most stable polymorph in this dataset is 34 meV/atom. The value obtained for the formation energy from the elements is 0.025 eV per atom.



This record from Alexandria describes crystalline Tl2HgPt at its relaxed geometry. The functional is PBE.

Cell lengths 7.2665, 7.2665, 7.2665 Å; angles 90.00, 90.00, 90.00 degrees
Fractional positions:
Tl  0.2500  0.2500  0.2500
Tl  0.2500  0.2500  0.7500
Tl  0.2500  0.7500  0.2500
Tl  0.2500  0.7500  0.7500
Tl  0.7500  0.2500  0.2500
Tl  0.7500  0.2500  0.7500
Tl  0.7500  0.7500  0.2500
Tl  0.7500  0.7500  0.7500
Hg  0.0000  0.0000  0.0000
Hg  0.0000  0.5000  0.5000
Hg  0.5000  0.0000  0.5000
Hg  0.5000  0.5000  0.0000
Pt  0.0000  0.0000  0.5000
Pt  0.0000  0.5000  0.0000
Pt  0.5000  0.0000  0.0000
Pt  0.5000  0.5000  0.5000

Output
The calculation puts the total energy at -2.633 eV per atom. Its crystal system is cubic. The energy above the most stable polymorph in this dataset is 141 meV/atom. The value obtained for the formation energy from the elements is 0.136 eV per atom.



This record from Alexandria describes crystalline Tl2HgPt at its relaxed geometry. The functional is PBE.

Cell lengths 6.6846, 7.4044, 3.8909 Å; angles 90.00, 95.61, 90.00 degrees
Fractional positions:
Tl  0.2500  0.2500  0.0000
Tl  0.2500  0.7500  0.0000
Tl  0.7500  0.2500  0.0000
Tl  0.7500  0.7500  0.0000
Hg  0.0000  0.0000  0.5000
Hg  0.5000  0.5000  0.5000
Pt  0.0000  0.5000  0.5000
Pt  0.5000  0.0000  0.5000

Output
The calculation puts the total energy at -2.600 eV per atom. Its crystal system is monoclinic. The energy above the most stable polymorph in this dataset is 174 meV/atom. The value obtained for the formation energy from the elements is 0.168 eV per atom.